Material: ZnTcRh
Method: DFT, meta-GGA SCAN
State: single point on PBEsol structure

Cell: 4.060 4.060 4.060 Å, 60.00 60.00 60.00°
Element x y z (fractional)
Zn (0.500, 0.500, 0.500)
Rh (0.250, 0.250, 0.250)
Tc (0.000, 0.000, 0.000)

Calculated values
Energy relative to the lowest polymorph listed for this composition in meV per atom: 312
Space group: F-43m (216)
Energy in eV/atom: -27.296
DFT formation energy in eV per atom: 0.153